# SbAs2HBr (PBE-GGA, relaxed)
data_SbAs2HBr
_chemical_formula_sum 'Sb1 As2 H1 Br1'
_symmetry_space_group_name_H-M 'P 4/m m m'
_symmetry_Int_Tables_number 123
_symmetry_space_group_name_Hall '-P 4 2'
_cell_length_a 4.1776
_cell_length_b 4.1776
_cell_length_c 5.6338
_cell_angle_alpha 90.00
_cell_angle_beta 90.00
_cell_angle_gamma 90.00
loop_
_atom_site_label
_atom_site_type_symbol
_atom_site_fract_x
_atom_site_fract_y
_atom_site_fract_z
_atom_site_occupancy
Sb1 Sb 0.0000 0.0000 0.0000 1
As1 As 0.0000 0.5000 0.5000 1
H1 H 0.5000 0.5000 0.5000 1
Br1 Br 0.5000 0.5000 0.0000 1
# crystal system = tetragonal
# polymorph energy (0 for the lowest one) = 0 meV/atom
# DOS at the Fermi energy = 3.4 states/eV per cell